10
Lattice="2.8103 1.6225 4.6177 -2.8103 1.6225 4.6177 0.0000 -3.2451 4.6177" Properties=species:S:1:pos:R:3 comment="K2HfOsO6 PBE-GGA optimized geometry" spacegroup=R-3 mass_density_g_cm3=7.14 e_above_lowest_polymorph_mev_per_atom=3 pbc="T T T"
Hf 0.0000 0.0000 0.0031
K 0.0000 0.0000 3.4575
K 0.0000 0.0000 10.3991
O 0.0051 1.5684 8.0400
O -1.3575 0.7859 5.8191
O 1.3594 0.7826 5.8191
O -1.3608 -0.7798 8.0400
O -0.0019 -1.5686 5.8191
O 1.3558 -0.7886 8.0400
Os 0.0000 0.0000 6.9296